10
Lattice="6.931 0.000 0.000 0.000 6.931 0.000 0.000 0.000 4.178" Properties=species:S:1:pos:R:3 comment="GGA-PBE Ir2PtPb2, optimized geometry" energy_ev_per_atom=-5.94 formation_energy_ev_per_atom=0.30 pbc="T T T"
Pb 4.680 5.716 2.089
Pt 0.000 0.000 0.000
Ir 4.383 0.918 0.000
Ir 0.918 2.547 0.000
Pb 1.215 4.680 2.089
Pb 2.250 1.215 2.089
Pb 5.716 2.250 2.089
Ir 2.547 6.013 0.000
Ir 6.013 4.383 0.000
Pt 3.465 3.465 0.000


9
Lattice="5.740 0.000 0.000 0.000 5.740 0.000 0.000 0.000 11.888" Properties=species:S:1:pos:R:3 comment="GGA-PBE Sm2HoThBi5, optimized geometry" energy_ev_per_atom=-4.42 formation_energy_ev_per_atom=0.12 pbc="T T T"
Th 0.000 0.000 5.944
Bi 0.000 0.000 9.014
Bi 0.000 0.000 2.874
Bi 0.000 2.870 5.944
Sm 2.870 2.870 8.608
Bi 2.870 2.870 0.000
Sm 2.870 2.870 3.280
Bi 2.870 0.000 5.944
Ho 0.000 0.000 0.000


20
Lattice="3.675 0.000 0.000 0.000 9.961 0.000 0.000 0.000 9.961" Properties=species:S:1:pos:R:3 comment="GGA-PBE Dy2YGe2Rh5, optimized geometry" energy_ev_per_atom=-7.02 formation_energy_ev_per_atom=-0.86 pbc="T T T"
Rh 1.837 4.980 0.000
Ge 0.000 3.755 1.226
Y 0.000 0.000 0.000
Rh 1.837 9.263 2.164
Rh 1.837 7.796 9.263
Dy 0.000 1.727 3.254
Rh 1.837 2.816 5.679
Rh 1.837 5.679 7.145
Ge 0.000 8.735 3.755
Rh 1.837 0.698 7.796
Rh 1.837 0.000 4.980
Rh 1.837 7.145 4.282
Y 0.000 4.980 4.980
Rh 1.837 2.164 0.698
Ge 0.000 1.226 6.206
Rh 1.837 4.282 2.816
Ge 0.000 6.206 8.735
Dy 0.000 3.254 8.234
Dy 0.000 6.707 1.727
Dy 0.000 8.234 6.707


6
Lattice="-3.883 -1.824 -2.325 4.192 0.671 -2.406 1.920 -6.159 1.626" Properties=species:S:1:pos:R:3 comment="GGA-PBE LiPmMg2Hg2, optimized geometry" energy_ev_per_atom=-2.09 formation_energy_ev_per_atom=-0.35 pbc="T T T"
Mg -0.571 -2.983 -1.826
Li 0.960 -3.079 0.813
Hg 0.276 -5.700 -1.109
Hg 1.952 -1.611 -1.996
Pm 0.000 0.000 0.000
Mg 2.799 -4.328 -1.278


4
Lattice="-5.048 -0.132 -2.498 -1.849 -4.554 -2.754 2.331 1.401 4.934" Properties=species:S:1:pos:R:3 comment="GGA-PBE CoCuSb2, optimized geometry" energy_ev_per_atom=-4.48 formation_energy_uncorrected_ev_per_atom=0.3854 pbc="T T T"
Cu -3.083 -0.537 -0.095
Co -3.449 -2.343 -2.626
Sb 0.000 0.000 0.000
Sb -1.483 -2.748 -0.223


13
Lattice="4.301 0.000 1.094 2.150 8.591 0.547 0.034 0.000 8.873" Properties=species:S:1:pos:R:3 comment="GGA-PBE Li4Ca5Ag4, optimized geometry" energy_ev_per_atom=-2.47 formation_energy_ev_per_atom=-0.23 pbc="T T T"
Ag 3.878 2.710 2.756
Li 1.464 4.059 3.248
Ag 0.701 1.716 6.247
Ca 4.138 5.707 1.735
Ca 5.045 7.929 7.172
Ag 2.607 5.881 7.757
Ag 5.784 6.875 4.267
Ca 1.440 0.662 3.342
Ca 0.000 0.000 0.000
Li 3.301 5.804 5.027
Li 5.021 4.532 7.265
Ca 2.347 2.884 8.778
Li 3.184 2.787 5.486


20
Lattice="4.941 0.000 0.000 0.000 12.067 -3.666 0.000 -7.307 10.445" Properties=species:S:1:pos:R:3 comment="GGA-PBE NdCd3Hg6, optimized geometry" energy_ev_per_atom=-1.07 formation_energy_ev_per_atom=-0.14 pbc="T T T"
Cd 1.235 5.317 -1.043
Nd 3.706 -4.003 7.133
Cd 3.706 4.602 2.858
Hg 1.235 -2.053 6.406
Hg 1.235 1.100 6.834
Hg 3.706 1.786 4.856
Hg 3.706 3.660 -0.055
Hg 3.706 9.891 -2.188
Cd 3.706 -0.557 7.822
Hg 1.235 2.974 1.922
Cd 3.706 1.144 1.900
Cd 1.235 3.617 4.879
Hg 3.706 5.176 5.761
Hg 3.706 6.813 0.372
Hg 1.235 -5.131 8.967
Nd 1.235 8.763 -0.355
Hg 1.235 -0.416 1.017
Hg 1.235 6.354 2.126
Cd 1.235 0.158 3.920
Hg 3.706 -1.594 4.652


4
Lattice="-0.624 3.947 -0.242 -1.598 -0.462 -3.419 -6.134 -0.914 0.911" Properties=species:S:1:pos:R:3 comment="GGA-PBE BaMn2Be, optimized geometry" energy_ev_per_atom=-5.37 formation_energy_ev_per_atom=0.62 pbc="T T T"
Mn -1.181 1.782 -1.014
Be -6.972 0.784 -2.366
Mn -1.450 -0.395 -2.712
Ba -4.217 -0.748 -1.331


6
Lattice="-3.599 -3.352 1.251 0.164 -5.199 -3.221 1.052 -2.999 5.228" Properties=species:S:1:pos:R:3 comment="GGA-PBE NdThHg4, optimized geometry" e_above_lowest_polymorph_ev_per_atom=0.0072 energy_ev_per_atom=-2.57 formation_energy_ev_per_atom=-0.34 pbc="T T T"
Hg -1.907 -9.056 1.039
Hg -0.772 -3.227 -0.599
Hg -1.611 -8.322 3.857
Hg -0.475 -2.493 2.219
Th -3.599 -3.352 1.251
Nd -1.191 -5.775 1.629


4
Lattice="-3.291 2.140 1.430 1.500 -3.230 2.185 6.361 4.338 2.045" Properties=species:S:1:pos:R:3 comment="GGA-PBE CeDySbSe, optimized geometry" energy_ev_per_atom=-5.87 formation_energy_uncorrected_ev_per_atom=-1.3350 pbc="T T T"
Se 2.652 3.325 2.280
Sb 1.687 -2.381 2.497
Dy 5.336 2.627 3.400
Ce -0.279 2.433 2.974


10
Lattice="5.868 0.000 0.000 0.000 5.868 0.000 0.000 0.000 3.316" Properties=species:S:1:pos:R:3 comment="GGA-PBE MnNb2B2, optimized geometry" e_above_lowest_polymorph_ev_per_atom=0.0000 energy_ev_per_atom=-9.16 formation_energy_ev_per_atom=-0.62 pbc="T T T"
Mn 0.000 0.000 0.000
B 3.591 0.657 0.000
Nb 1.878 1.057 1.658
B 5.212 3.591 0.000
B 2.278 5.212 0.000
B 0.657 2.278 0.000
Mn 2.934 2.934 0.000
Nb 3.991 4.812 1.658
Nb 1.057 3.991 1.658
Nb 4.812 1.878 1.658


80
Lattice="17.321 0.000 0.000 -5.774 16.330 0.000 -5.774 -8.165 14.142" Properties=species:S:1:pos:R:3 comment="GGA-PBE Ba12Bi3Br5, optimized geometry" energy_ev_per_atom=-3.14 formation_energy_uncorrected_ev_per_atom=-0.9825 pbc="T T T"
Br -2.887 8.165 0.000
Br 1.443 -4.083 10.607
Bi 4.330 0.000 10.607
Br -1.443 1.021 8.839
Br -1.443 13.268 1.768
Ba -5.091 7.346 7.724
Ba 2.299 2.121 12.816
Ba 1.653 1.208 8.398
Bi 7.217 1.021 5.303
Ba 6.362 2.210 12.969
Ba -2.204 -0.819 6.419
Ba 7.007 -1.208 8.398
Br 7.217 7.145 5.303
Br 4.330 3.062 1.768
Bi 12.991 0.000 3.536
Br 5.774 -4.083 7.071
Ba 11.510 1.732 0.652
Ba 0.037 5.513 5.898
Ba 12.781 3.794 3.919
Bi -4.330 3.062 12.375
Ba 4.120 6.957 5.745
Ba -2.924 -6.433 13.490
Ba 8.073 8.254 2.500
Bi 10.104 5.103 1.768
Ba -3.570 9.232 10.990
Ba 8.698 14.599 0.652
Ba -4.540 13.744 1.826
Ba 7.427 12.536 3.919
Ba -1.653 -4.371 10.224
Ba 9.343 -1.067 3.153
Ba -1.653 5.579 12.317
Ba 3.570 1.886 4.571
Ba 2.924 -2.652 8.245
Br 2.887 4.083 7.071
Br 4.330 12.248 3.536
Ba 3.475 10.375 1.174
Ba -7.007 4.371 10.224
Ba 11.585 -3.782 8.897
Bi 4.330 9.186 8.839
Br 7.217 4.083 10.607
Ba -1.233 9.373 5.745
Br -5.774 4.083 7.071
Ba 10.864 0.819 6.419
Bi -7.217 8.165 10.607
Bi 10.104 11.227 1.768
Br -1.443 4.083 3.536
Ba 2.849 10.817 5.898
Ba 2.299 -2.210 12.969
Ba 7.978 8.984 7.724
Br 7.217 -5.103 12.375
Ba 7.427 2.586 1.826
Br 5.774 8.165 0.000
Ba 5.736 2.652 8.245
Ba -2.924 3.782 8.897
Ba 12.135 8.077 2.500
Bi 1.443 -1.021 5.303
Br 10.104 -1.021 8.839
Br -2.887 -4.083 7.071
Ba -5.736 6.433 13.490
Bi -4.330 -3.062 12.375
Ba 3.475 6.044 1.327
Ba 2.204 6.279 9.572
Br 0.000 0.000 0.000
Ba -0.588 10.286 1.327
Ba 6.362 -2.121 12.816
Ba 8.698 4.383 5.245
Bi 1.443 8.165 3.536
Ba 5.091 -1.886 4.571
Ba 0.683 10.051 9.572
Br -4.330 9.186 5.303
Br 8.660 0.000 0.000
Ba 6.457 7.098 10.990
Br 1.443 5.103 12.375
Ba -2.299 -0.088 11.642
Ba -0.588 5.956 1.174
Bi -1.443 7.145 8.839
Ba -6.362 0.088 11.642
Ba -0.683 1.067 3.153
Ba 10.314 -5.579 12.317
Ba -5.811 11.947 5.245


20
Lattice="7.252 0.000 0.000 0.000 8.797 -4.200 0.000 -0.428 11.042" Properties=species:S:1:pos:R:3 comment="GGA-PBE CsCd3Sn, optimized geometry" e_above_lowest_polymorph_ev_per_atom=0.0018 energy_ev_per_atom=-1.57 formation_energy_ev_per_atom=-0.05 pbc="T T T"
Sn 1.702 7.890 2.910
Cd 3.650 6.976 0.904
Cd 3.648 2.580 8.556
Cd 2.297 0.174 9.811
Cd 3.604 5.789 -1.714
Sn 1.923 8.104 -2.611
Cd 7.230 2.794 3.035
Cs 7.211 5.476 -0.246
Cd 3.602 1.393 5.938
Sn 5.328 0.264 9.453
Cd 0.024 1.607 0.417
Cs 3.585 3.106 1.566
Cd 4.955 8.194 -2.969
Cd 1.329 0.388 4.289
Cs 3.667 5.262 5.276
Sn 5.549 0.478 3.932
Cd 0.022 5.575 3.807
Cd 7.227 6.762 6.425
Cd 5.923 7.980 2.553
Cs 0.041 2.892 7.088


12
Lattice="4.329 0.000 0.000 0.000 9.588 0.676 0.000 -2.968 9.582" Properties=species:S:1:pos:R:3 comment="GGA-PBE Ac3TlPtO, optimized geometry" energy_ev_per_atom=-5.70 formation_energy_uncorrected_ev_per_atom=-1.4150 pbc="T T T"
Ac 3.247 3.771 1.818
Ac 3.247 0.092 5.155
O 3.247 7.592 4.522
O 1.082 -0.971 5.737
Ac 1.082 6.529 5.104
Tl 1.082 1.104 2.345
Pt 1.082 5.902 1.921
Ac 3.247 8.037 2.062
Pt 3.247 0.719 8.338
Ac 1.082 2.850 8.440
Tl 3.247 5.517 7.914
Ac 1.082 -1.417 8.197


5
Lattice="-0.164 -3.928 -0.079 3.703 -0.128 -1.316 5.648 -2.410 10.256" Properties=species:S:1:pos:R:3 comment="GGA-PBE Sr2Li2Y, optimized geometry" e_above_lowest_polymorph_ev_per_atom=0.0037 energy_ev_per_atom=-2.56 formation_energy_ev_per_atom=0.17 pbc="T T T"
Y 0.000 0.000 0.000
Sr 2.693 -2.119 1.911
Sr 6.494 -4.347 6.950
Li 5.560 -2.283 4.121
Li 3.627 -4.183 4.740


4
Lattice="3.186 0.000 0.000 0.000 4.462 -0.566 -1.593 -1.670 4.760" Properties=species:S:1:pos:R:3 comment="GGA-PBE NbReMo2, optimized geometry" e_above_lowest_polymorph_ev_per_atom=0.0000 energy_ev_per_atom=-11.15 formation_energy_ev_per_atom=-0.10 pbc="T T T"
Mo 1.593 2.509 1.942
Mo 0.000 0.283 2.252
Nb 1.593 0.000 0.000
Re 0.000 2.231 -0.283


4
Lattice="5.042 0.002 0.001 2.034 4.613 -0.001 -3.043 -3.068 2.599" Properties=species:S:1:pos:R:3 comment="GGA-PBE ZrMn2Re, optimized geometry" e_above_lowest_polymorph_ev_per_atom=0.0994 energy_ev_per_atom=-9.69 formation_energy_ev_per_atom=0.14 pbc="T T T"
Zr 1.265 1.927 1.299
Mn 3.646 2.378 0.000
Mn 6.969 4.546 0.000
Re 2.769 -0.379 1.300


5
Lattice="-3.353 5.646 1.876 1.795 -1.093 6.497 3.233 4.882 3.516" Properties=species:S:1:pos:R:3 comment="GGA-PBE Ba2NaSb2, optimized geometry" e_above_lowest_polymorph_ev_per_atom=0.3041 energy_ev_per_atom=-3.21 formation_energy_uncorrected_ev_per_atom=-0.5284 pbc="T T T"
Ba -0.449 6.402 4.789
Na 0.000 0.000 0.000
Ba 2.125 3.033 7.100
Sb 0.508 3.112 3.971
Sb 1.168 6.323 7.917


4
Lattice="-2.657 -2.255 1.374 0.772 -3.600 0.693 0.874 -0.663 5.708" Properties=species:S:1:pos:R:3 comment="GGA-PBE PmBeN2, optimized geometry" energy_ev_per_atom=-6.91 formation_energy_uncorrected_ev_per_atom=-0.6300 pbc="T T T"
Be 0.000 0.000 0.000
Pm -0.506 -3.258 3.888
N 0.448 -1.028 4.287
N -1.460 -5.489 3.488


12
Lattice="-3.984 -3.630 1.606 5.165 -1.856 -1.228 1.831 0.838 6.437" Properties=species:S:1:pos:R:3 comment="GGA-PBE SrAlTc2O8, optimized geometry" energy_ev_per_atom=-7.37 formation_energy_uncorrected_ev_per_atom=-1.8811 pbc="T T T"
Al 0.916 0.419 3.218
Tc 3.483 -1.821 4.522
O -1.996 -3.083 3.262
Sr 0.000 0.000 0.000
O 5.008 -1.564 3.553
O 0.879 -2.208 7.034
O 2.134 -2.439 -0.219
O 2.208 -0.550 4.217
Tc -0.470 -2.826 2.293
O 0.171 -1.119 2.390
O 0.805 -4.097 2.598
O 2.841 -3.528 4.425